Run one
A plane-wave DFT calculation with GGA-PBE was carried out for a relaxed Ac2HSe2 crystal.

abc: 4.245 6.162 12.218
angles: 90.00 90.00 90.00
Space group Immm (No. 71)
Unique sites:
Ac 0.000 0.000 0.158 (multiplicity 4)
H 0.000 0.500 0.500 (multiplicity 2)
Se 0.000 0.500 0.163 (multiplicity 4)

=====

Run two
A plane-wave DFT calculation with GGA-PBE was carried out for a relaxed Ac2HSe2 crystal.

abc: 4.322 18.008 6.979
angles: 90.00 90.00 90.00
Space group Cmc2_1 (No. 36)
Unique sites:
Ac 0.000 0.072 0.000 (multiplicity 4)
Ac 0.000 0.326 0.966 (multiplicity 4)
H 0.000 0.117 0.345 (multiplicity 4)
Se 0.000 0.300 0.502 (multiplicity 4)
Se 0.000 0.473 0.199 (multiplicity 4)

=====

Which of them is most stable? Easy: run two.

=====

Run one
A plane-wave DFT calculation with GGA-PBE was carried out for a relaxed AcSmH crystal.

abc: 3.8530 3.8530 6.1218
angles: 90.00 90.00 120.00
Space group P3m1 (No. 156)
Unique sites:
Ac 0.0000 0.0000 0.0000 (multiplicity 1)
Sm 0.6667 0.3333 0.5190 (multiplicity 1)
H 0.3333 0.6667 0.7239 (multiplicity 1)

=====

Run two
A plane-wave DFT calculation with GGA-PBE was carried out for a relaxed AcSmH crystal.

abc: 3.583 3.583 13.037
angles: 90.00 90.00 90.00
Space group I4mm (No. 107)
Unique sites:
Ac 0.000 0.000 0.000 (multiplicity 2)
Sm 0.000 0.000 0.711 (multiplicity 2)
H 0.000 0.000 0.192 (multiplicity 2)

=====

Which of them is most stable? Easy: run one.

=====

Run one
A plane-wave DFT calculation with GGA-PBE was carried out for a relaxed Ac2SmH crystal.

abc: 3.717 3.717 9.117
angles: 90.00 90.00 90.00
Space group P4/mmm (No. 123)
Unique sites:
Ac 0.000 0.000 0.198 (multiplicity 2)
Sm 0.500 0.500 0.500 (multiplicity 1)
H 0.500 0.500 0.000 (multiplicity 1)

=====

Run two
A plane-wave DFT calculation with GGA-PBE was carried out for a relaxed Ac2SmH crystal.

abc: 3.7973 3.7973 30.9743
angles: 90.00 90.00 120.00
Space group R-3m (No. 166, hexagonal axes)
Unique sites:
Ac 0.0000 0.0000 0.1162 (multiplicity 6)
Sm 0.0000 0.0000 0.0000 (multiplicity 3)
H 0.0000 0.0000 0.5000 (multiplicity 3)

=====

Which of them is most stable? Easy: run two.

=====

Run one
A plane-wave DFT calculation with GGA-PBE was carried out for a relaxed AcSn2H crystal.

abc: 3.591 3.591 7.671
angles: 90.00 90.00 90.00
Space group P4/mmm (No. 123)
Unique sites:
Ac 0.000 0.000 0.000 (multiplicity 1)
Sn 0.500 0.500 0.315 (multiplicity 2)
H 0.000 0.000 0.500 (multiplicity 1)

=====

Run two
A plane-wave DFT calculation with GGA-PBE was carried out for a relaxed AcSn2H crystal.

abc: 4.6408 4.6408 17.2908
angles: 90.00 90.00 120.00
Space group R-3m (No. 166, hexagonal axes)
Unique sites:
Ac 0.0000 0.0000 0.0000 (multiplicity 3)
Sn 0.0000 0.0000 0.2032 (multiplicity 6)
H 0.0000 0.0000 0.5000 (multiplicity 3)

=====

Which of them is most stable? Easy: run two.

=====

Run one
A plane-wave DFT calculation with GGA-PBE was carried out for a relaxed SrAcH crystal.

abc: 3.721 3.721 13.998
angles: 90.00 90.00 90.00
Space group I4mm (No. 107)
Unique sites:
Sr 0.000 0.000 0.000 (multiplicity 2)
Ac 0.000 0.000 0.282 (multiplicity 2)
H 0.000 0.000 0.463 (multiplicity 2)

=====

Run two
A plane-wave DFT calculation with GGA-PBE was carried out for a relaxed SrAcH crystal.

abc: 4.0015 4.0015 6.6293
angles: 90.00 90.00 120.00
Space group P3m1 (No. 156)
Unique sites:
Sr 0.0000 0.0000 0.0000 (multiplicity 1)
Ac 0.6667 0.3333 0.5228 (multiplicity 1)
H 0.3333 0.6667 0.7477 (multiplicity 1)

=====

Which of them is most stable? Easy: run two.

=====

Run one
A plane-wave DFT calculation with GGA-PBE was carried out for a relaxed AcTb2H crystal.

abc: 3.6265 3.6265 29.5103
angles: 90.00 90.00 120.00
Space group R-3m (No. 166, hexagonal axes)
Unique sites:
Ac 0.0000 0.0000 0.0000 (multiplicity 3)
Tb 0.0000 0.0000 0.1221 (multiplicity 6)
H 0.0000 0.0000 0.5000 (multiplicity 3)

=====

Run two
A plane-wave DFT calculation with GGA-PBE was carried out for a relaxed AcTb2H crystal.

abc: 3.477 3.477 8.880
angles: 90.00 90.00 90.00
Space group P4/mmm (No. 123)
Unique sites:
Ac 0.000 0.000 0.000 (multiplicity 1)
Tb 0.500 0.500 0.318 (multiplicity 2)
H 0.000 0.000 0.500 (multiplicity 1)

=====

Which of them is most stable? Easy: run one.

=====

Run one
A plane-wave DFT calculation with GGA-PBE was carried out for a relaxed Ac2TeH crystal.

abc: 4.2546 4.2546 26.0345
angles: 90.00 90.00 120.00
Space group R3m (No. 160, hexagonal axes)
Unique sites:
Ac 0.0000 0.0000 0.0000 (multiplicity 3)
Ac 0.0000 0.0000 0.1593 (multiplicity 3)
Te 0.0000 0.0000 0.5787 (multiplicity 3)
H 0.0000 0.0000 0.8162 (multiplicity 3)

=====

Run two
A plane-wave DFT calculation with GGA-PBE was carried out for a relaxed Ac2TeH crystal.

abc: 3.938 3.938 7.583
angles: 90.00 90.00 90.00
Space group P4/mmm (No. 123)
Unique sites:
Ac 0.000 0.000 0.242 (multiplicity 2)
Te 0.500 0.500 0.500 (multiplicity 1)
H 0.500 0.500 0.000 (multiplicity 1)

=====

Which of them is most stable? Easy: run one.